DyScGa4 | PBE | optimized geometry

Cell lengths 5.414, 5.414, 5.414 Å; angles 60.00, 60.00, 60.00 degrees
Sites, in units of the cell vectors:
Dy (0.000, 0.000, 0.000)
Sc (0.250, 0.250, 0.250)
Ga (0.126, 0.625, 0.625)
Ga (0.625, 0.126, 0.625)
Ga (0.625, 0.625, 0.126)
Ga (0.625, 0.625, 0.625)

## Properties
The space-group type is No. 216. The theoretical density comes out at 7.20 g/cm3. The energy relative to the elements comes out at -521 meV per atom. As for the total energy: -4.36 eV per atom.